# PBE Mg2CrMo, relaxed
# Spin magnetization, μB/cell: 0.39
# Offset from the most stable computed form, meV per atom: 284
# E_form, eV per atom: 0.5100
# Calculated density, g/cm3: 5.0
data_Mg2CrMo
_chemical_formula_sum 'Mg2 Cr1 Mo1'
_space_group_name_H-M_alt 'P 4/m m m'
_space_group_IT_number 123
_space_group_name_Hall '-P 4 2'
_cell_length_a 2.6731
_cell_length_b 2.6731
_cell_length_c 9.0530
_cell_angle_alpha 90.00
_cell_angle_beta 90.00
_cell_angle_gamma 90.00
loop_
_atom_site_label
_atom_site_fract_x
_atom_site_fract_y
_atom_site_fract_z
Mg1 0.0000 0.0000 0.2409
Cr1 0.5000 0.5000 0.0000
Mo1 0.5000 0.5000 0.5000



# PBE Mg2CrMo, relaxed
# Spin magnetization, μB/cell: 12.71
# Offset from the most stable computed form, meV per atom: 357
# E_form, eV per atom: 0.5829
# Calculated density, g/cm3: 4.6
data_Mg2CrMo
_chemical_formula_sum 'Mg6 Cr3 Mo3'
_space_group_name_H-M_alt 'R -3 m'
_space_group_IT_number 166
_space_group_name_Hall '-R 3 2"'
_cell_length_a 2.9199
_cell_length_b 2.9199
_cell_length_c 28.9462
_cell_angle_alpha 90.00
_cell_angle_beta 90.00
_cell_angle_gamma 120.00
loop_
_atom_site_label
_atom_site_fract_x
_atom_site_fract_y
_atom_site_fract_z
Mg1 0.0000 0.0000 0.2503
Cr1 0.0000 0.0000 0.5000
Mo1 0.0000 0.0000 0.0000



# PBE MgCrMo2, relaxed
# Spin magnetization, μB/cell: 0.00
# E_form, eV per atom: 0.3254
# Calculated density, g/cm3: 7.3
data_MgCrMo2
_chemical_formula_sum 'Mg1 Cr1 Mo2'
_space_group_name_H-M_alt 'P 1 m 1'
_space_group_IT_number 6
_cell_length_a 2.6574
_cell_length_b 4.4133
_cell_length_c 5.2895
_cell_angle_alpha 90.00
_cell_angle_beta 99.62
_cell_angle_gamma 90.00
loop_
_space_group_symop_operation_xyz
'x,y,z'
'x,-y,z'
loop_
_atom_site_label
_atom_site_fract_x
_atom_site_fract_y
_atom_site_fract_z
Mg1 0.0000 0.0000 0.0000
Cr1 0.2235 0.5000 0.7386
Mo1 0.4630 0.0000 0.5120
Mo2 0.7024 0.5000 0.2628



# PBE MgCr2Mo, relaxed
# Spin magnetization, μB/cell: 3.67
# E_form, eV per atom: 0.3157
# Calculated density, g/cm3: 6.0
data_MgCr2Mo
_chemical_formula_sum 'Mg1 Cr2 Mo1'
_space_group_name_H-M_alt 'P 4/m m m'
_space_group_IT_number 123
_space_group_name_Hall '-P 4 2'
_cell_length_a 3.1145
_cell_length_b 3.1145
_cell_length_c 6.3624
_cell_angle_alpha 90.00
_cell_angle_beta 90.00
_cell_angle_gamma 90.00
loop_
_atom_site_label
_atom_site_fract_x
_atom_site_fract_y
_atom_site_fract_z
Mg1 0.0000 0.0000 0.0000
Cr1 0.5000 0.5000 0.2812
Mo1 0.0000 0.0000 0.5000



# PBE MgCr2MoN, relaxed
# Formation energy (no corrections), meV per atom: 1026
# Spin magnetization, μB/cell: 6.79
# Calculated density, g/cm3: 4.2
data_MgCr2MoN
_chemical_formula_sum 'Mg1 Cr2 Mo1 N1'
_space_group_name_H-M_alt 'P 4/m m m'
_space_group_IT_number 123
_space_group_name_Hall '-P 4 2'
_cell_length_a 4.9352
_cell_length_b 4.9352
_cell_length_c 3.9034
_cell_angle_alpha 90.00
_cell_angle_beta 90.00
_cell_angle_gamma 90.00
loop_
_atom_site_label
_atom_site_fract_x
_atom_site_fract_y
_atom_site_fract_z
Mg1 0.0000 0.0000 0.0000
Cr1 0.0000 0.5000 0.5000
Mo1 0.5000 0.5000 0.5000
N1 0.5000 0.5000 0.0000



# PBE MgCrMoOs, relaxed
# Spin magnetization, μB/cell: 7.91
# E_form, eV per atom: 0.1800
# Calculated density, g/cm3: 10.1
data_MgCrMoOs
_chemical_formula_sum 'Mg4 Cr4 Mo4 Os4'
_space_group_name_H-M_alt 'F -4 3 m'
_space_group_IT_number 216
_space_group_name_Hall 'F -4 2 3'
_cell_length_a 6.1992
_cell_length_b 6.1992
_cell_length_c 6.1992
_cell_angle_alpha 90.00
_cell_angle_beta 90.00
_cell_angle_gamma 90.00
loop_
_atom_site_label
_atom_site_fract_x
_atom_site_fract_y
_atom_site_fract_z
Mg1 0.0000 0.0000 0.0000
Cr1 0.2500 0.2500 0.7500
Mo1 0.0000 0.0000 0.5000
Os1 0.2500 0.2500 0.2500